# Tb4Zn3Ag, optimized geometry, DFT PBE-GGA
data_Tb4Zn3Ag
_symmetry_space_group_name_H-M 'P m m 2'
_symmetry_Int_Tables_number 25
_symmetry_space_group_name_Hall 'P 2 -2'
_cell_length_a 3.629
_cell_length_b 4.584
_cell_length_c 11.472
_cell_angle_alpha 90.00
_cell_angle_beta 90.00
_cell_angle_gamma 90.00
loop_
_atom_site_label
_atom_site_type_symbol
_atom_site_fract_x
_atom_site_fract_y
_atom_site_fract_z
Tb1 Tb 0.000 0.000 0.000
Tb2 Tb 0.000 0.500 0.300
Tb3 Tb 0.500 0.000 0.494
Tb4 Tb 0.500 0.500 0.801
Zn1 Zn 0.000 0.500 0.574
Zn2 Zn 0.500 0.000 0.218
Zn3 Zn 0.500 0.500 0.078
Ag1 Ag 0.000 0.000 0.719
# **Distance to the lowest polymorph of the same formula**: 5.3 kJ/mol of atoms
# **Formation energy**: -281.1 meV per atom


# Tb4AlAgHg2, optimized geometry, DFT PBE-GGA
data_Tb4AlAgHg2
_symmetry_space_group_name_H-M 'R -3 m'
_symmetry_Int_Tables_number 166
_symmetry_space_group_name_Hall '-R 3 2"'
_cell_length_a 5.2148
_cell_length_b 5.2148
_cell_length_c 25.6617
_cell_angle_alpha 90.00
_cell_angle_beta 90.00
_cell_angle_gamma 120.00
loop_
_atom_site_label
_atom_site_type_symbol
_atom_site_fract_x
_atom_site_fract_y
_atom_site_fract_z
Tb1 Tb 0.0000 0.0000 0.1246
Tb2 Tb 0.0000 0.0000 0.3748
Al1 Al 0.0000 0.0000 0.0000
Ag1 Ag 0.0000 0.0000 0.5000
Hg1 Hg 0.0000 0.0000 0.2507
# **Formation energy**: -400.4 meV per atom


# HfAlAg, optimized geometry, DFT PBE-GGA
data_HfAlAg
_symmetry_space_group_name_H-M 'P 1 21/m 1'
_symmetry_Int_Tables_number 11
_symmetry_space_group_name_Hall '-P 2yb'
_cell_length_a 4.426
_cell_length_b 3.884
_cell_length_c 6.818
_cell_angle_alpha 90.00
_cell_angle_beta 108.84
_cell_angle_gamma 90.00
loop_
_atom_site_label
_atom_site_type_symbol
_atom_site_fract_x
_atom_site_fract_y
_atom_site_fract_z
Hf1 Hf 0.087 0.250 0.175
Al1 Al 0.424 0.250 0.848
Ag1 Ag 0.266 0.750 0.530
# **Formation energy**: -201.4 meV per atom


# Pr2YThBi5, optimized geometry, DFT PBE-GGA
data_Pr2YThBi5
_symmetry_space_group_name_H-M 'P 4/m m m'
_symmetry_Int_Tables_number 123
_symmetry_space_group_name_Hall '-P 4 2'
_cell_length_a 5.757
_cell_length_b 5.757
_cell_length_c 11.925
_cell_angle_alpha 90.00
_cell_angle_beta 90.00
_cell_angle_gamma 90.00
loop_
_atom_site_label
_atom_site_type_symbol
_atom_site_fract_x
_atom_site_fract_y
_atom_site_fract_z
Pr1 Pr 0.000 0.000 0.219
Y1 Y 0.500 0.500 0.500
Th1 Th 0.500 0.500 0.000
Bi1 Bi 0.000 0.000 0.500
Bi2 Bi 0.000 0.500 0.000
Bi3 Bi 0.500 0.500 0.258
# **Formation energy**: 12.3 meV per atom